Entry 1:
# TaAlAs2Br, relaxed, DFT PBE
data_TaAlAs2Br
_chemical_formula_sum 'Ta1 Al1 As2 Br1'
_space_group_name_H-M_alt 'P 1'
_space_group_IT_number 1
_space_group_name_Hall 'P 1'
_cell_length_a 4.809
_cell_length_b 4.809
_cell_length_c 4.836
_cell_angle_alpha 90.00
_cell_angle_beta 90.00
_cell_angle_gamma 90.00
loop_
_atom_site_label
_atom_site_fract_x
_atom_site_fract_y
_atom_site_fract_z
Ta1 0.000 0.000 0.000
Al1 0.500 0.500 0.500
As1 0.000 0.500 0.500
As2 0.500 0.000 0.500
Br1 0.500 0.500 0.000
# Crystal system: tetragonal
# Volume (Å³ per atom): 22.37
# ΔE_f (raw) (meV per atom): 890
# Space-group type: P4/mmm (123)
# Total moment (μB/atom): 0.357
# Density of states at the Fermi level (states/eV/atom): 0.86

=====

Entry 2:
# TaAlAsBr2, relaxed, DFT PBE
data_TaAlAsBr2
_chemical_formula_sum 'Ta1 Al1 As1 Br2'
_space_group_name_H-M_alt 'P 1'
_space_group_IT_number 1
_space_group_name_Hall 'P 1'
_cell_length_a 5.219
_cell_length_b 5.219
_cell_length_c 5.053
_cell_angle_alpha 90.00
_cell_angle_beta 90.00
_cell_angle_gamma 90.00
loop_
_atom_site_label
_atom_site_fract_x
_atom_site_fract_y
_atom_site_fract_z
Ta1 0.000 0.000 0.000
Al1 0.500 0.500 0.500
As1 0.000 0.000 0.500
Br1 0.000 0.500 0.000
Br2 0.500 0.000 0.000
# Crystal system: tetragonal
# Volume (Å³ per atom): 27.53
# ΔE_f (raw) (meV per atom): 157
# Space-group type: P4/mmm (123)
# Total moment (μB/atom): 0.039
# Density of states at the Fermi level (states/eV/atom): 0.34

=====

Number 1: relative energy among the computed polymorphs 309 kJ/mol of formula units. Number 2: relative energy among the computed polymorphs 0 kJ/mol of formula units.